Entry from the Alexandria database: a geometry-optimized LiPm5Te8 structure (PBE).

Cell lengths 8.2080, 8.2080, 8.2080 Å; angles 109.95, 108.51, 109.95 degrees
Sites, in units of the cell vectors:
1 Li 0.2500 0.5000 0.7500
2 Pm 0.0032 0.3699 0.1240
3 Pm 0.8760 0.8792 0.2459
4 Pm 0.7541 0.6301 0.6333
5 Pm 0.5000 0.0000 0.5000
6 Pm 0.3667 0.1208 0.9968
7 Te 0.1314 0.7438 0.0219
8 Te 0.9781 0.1095 0.7219
9 Te 0.7612 0.2467 0.3647
10 Te 0.6353 0.3965 0.8821
11 Te 0.4855 0.6035 0.2388
12 Te 0.6124 0.8905 0.8686
13 Te 0.2781 0.2562 0.3876
14 Te 0.1179 0.7533 0.5145

Values from the calculation:
Formation energy without anion corrections   -1.3888 eV per atom
Energy   -70.244 eV for the cell shown
Crystal system   tetragonal
Space-group type   I-4, No. 82
Total magnetization   0.000 μB per atom